The following is a PBE calculation of Gd2Hf2O5 after structural relaxation, from OQMD via LeMat-Bulk.

Cell and atoms, written as POSCAR:
```
Gd2Hf2O5
1.0
3.633 0.000 0.000
0.000 3.633 0.000
0.000 0.000 9.761
Gd Hf O
2 2 5
Direct
0.000 0.000 0.249
0.000 0.000 0.751
0.500 0.500 0.000
0.500 0.500 0.500
0.000 0.000 0.000
0.000 0.500 0.375
0.000 0.500 0.625
0.500 0.000 0.375
0.500 0.000 0.625
```

Results
Density in g/cm3: 9.69
Polymorph energy (0 for the lowest one) in kJ/mol of atoms: 10.76